Run a
! NdSmNi (PBE, optimized geometry); values from VASP
&SYSTEM
  ibrav = 0, nat = 6, ntyp = 3
/
ATOMIC_SPECIES
Nd 144.24 Nd.upf
Sm 150.36 Sm.upf
Ni 58.69 Ni.upf
CELL_PARAMETERS angstrom
-1.387 -2.386 -2.587
5.046 -0.674 -4.851
2.014 -3.617 5.029
ATOMIC_POSITIONS crystal
Nd 0.076 0.530 0.079
Nd 0.740 0.684 0.559
Sm 0.494 0.220 0.605
Sm 0.322 0.994 0.033
Ni 0.785 0.283 0.248
Ni 0.031 0.932 0.389
! - Magnetization: 0.00 μB/f.u.
! - Calculated volume: 157 Å³ per cell
! - Mass density: 7.493 Mg/m³
! - SG: No. 12

---

Run b
! NdSmNi (PBE, optimized geometry); values from VASP
&SYSTEM
  ibrav = 0, nat = 3, ntyp = 3
/
ATOMIC_SPECIES
Sm 150.36 Sm.upf
Nd 144.24 Nd.upf
Ni 58.69 Ni.upf
CELL_PARAMETERS angstrom
3.670 0.000 0.000
-1.835 3.178 0.000
0.000 0.000 7.442
ATOMIC_POSITIONS crystal
Sm 0.333 0.667 0.864
Nd 0.000 0.000 0.448
Ni 0.333 0.667 0.215
! - Magnetization: 0.00 μB/f.u.
! - Calculated volume: 87 Å³ per cell
! - Mass density: 6.759 Mg/m³
! - SG: No. 156

---

Run c
! NdSmNi (PBE, optimized geometry); values from VASP
&SYSTEM
  ibrav = 0, nat = 3, ntyp = 3
/
ATOMIC_SPECIES
Ni 58.69 Ni.upf
Nd 144.24 Nd.upf
Sm 150.36 Sm.upf
CELL_PARAMETERS angstrom
3.503 0.000 0.000
0.000 3.503 0.000
-1.751 -1.751 6.408
ATOMIC_POSITIONS crystal
Ni 0.663 0.663 0.326
Nd 0.298 0.298 0.596
Sm 0.039 0.039 0.078
! - Magnetization: 0.00 μB/f.u.
! - Calculated volume: 79 Å³ per cell
! - Mass density: 7.461 Mg/m³
! - SG: No. 107

---

Which structure is most stable? run a, by 80 meV per atom over the runner-up.

---

Run a
! NdNi2Sn4 (PBE, optimized geometry); values from VASP
&SYSTEM
  ibrav = 0, nat = 28, ntyp = 3
/
ATOMIC_SPECIES
Nd 144.24 Nd.upf
Ni 58.69 Ni.upf
Sn 118.71 Sn.upf
CELL_PARAMETERS angstrom
-2.463 -0.377 3.597
-0.918 -6.999 -1.362
15.624 -4.050 10.277
ATOMIC_POSITIONS crystal
Nd 0.750 0.032 0.640
Nd 0.250 0.968 0.360
Nd 0.250 0.532 0.860
Nd 0.750 0.468 0.140
Ni 0.250 0.750 0.537
Ni 0.750 0.250 0.463
Ni 0.750 0.250 0.963
Ni 0.250 0.750 0.037
Ni 0.250 0.998 0.790
Ni 0.750 0.002 0.210
Ni 0.750 0.498 0.710
Ni 0.250 0.502 0.290
Sn 0.250 0.298 0.705
Sn 0.750 0.702 0.295
Sn 0.750 0.798 0.795
Sn 0.250 0.202 0.205
Sn 0.250 0.715 0.677
Sn 0.750 0.285 0.323
Sn 0.750 0.215 0.823
Sn 0.250 0.785 0.177
Sn 0.250 0.137 0.525
Sn 0.750 0.863 0.475
Sn 0.750 0.637 0.975
Sn 0.250 0.363 0.025
Sn 0.250 0.492 0.432
Sn 0.750 0.508 0.568
Sn 0.750 0.992 0.068
Sn 0.250 0.008 0.932
! - Magnetization: 0.00 μB/f.u.
! - Calculated volume: 602 Å³ per cell
! - Mass density: 8.127 Mg/m³
! - SG: No. 62

---

Run b
! NdNi2Sn4 (PBE, optimized geometry); values from VASP
&SYSTEM
  ibrav = 0, nat = 7, ntyp = 3
/
ATOMIC_SPECIES
Nd 144.24 Nd.upf
Ni 58.69 Ni.upf
Sn 118.71 Sn.upf
CELL_PARAMETERS angstrom
-1.207 -4.676 0.926
0.124 -0.999 -4.881
6.022 -0.981 2.898
ATOMIC_POSITIONS crystal
Nd 0.000 0.000 0.000
Ni 0.500 0.600 0.200
Ni 0.500 0.400 0.800
Sn 0.500 0.828 0.657
Sn 0.000 0.670 0.339
Sn 0.500 0.172 0.343
Sn 0.000 0.330 0.661
! - Magnetization: 0.00 μB/f.u.
! - Calculated volume: 154 Å³ per cell
! - Mass density: 7.949 Mg/m³
! - SG: No. 65

---

Which structure is most stable? run a, by 154 meV per atom over the runner-up.